[1]
This record from the Alexandria database describes an optimized crystal structure of CsSmMnTe3. The functional is PBE.

ΔE_f (raw)   -6.0 eV per formula unit
E_tot   -30.2 eV/f.u.
Crystal system   monoclinic

a b c (Å): 10.3857 4.5728 10.9747
angles (deg): 90.00 111.19 90.00
Last column: nearest neighbours and their distance in Å.
Space group P2_1/m (No. 11)
Unique sites:
Cs  0.2144  0.2500  0.2435 x2  7 Te 3.87-4.04
Sm  0.3300  0.7500  0.8619 x2  6 Te 3.10-3.28
Mn  0.0851  0.2500  0.6081 x2  4 Te 2.67-2.81
Te  0.1167  0.2500  0.8610 x2  1 Mn 2.67
Te  0.1986  0.7500  0.5414 x2  3 Mn 2.79-2.81
Te  0.4741  0.7500  0.1639 x2  3 Sm 3.10-3.14

---

[2]
This record from the Alexandria database describes an optimized crystal structure of Cs2MnSn. The functional is PBE.

Calculated formation energy   1.4 eV/f.u.
E_tot   -13.5 eV/f.u.
Crystal system   tetragonal

a b c (Å): 14.6705 14.6705 5.1451
angles (deg): 90.00 90.00 90.00
Last column: nearest neighbours and their distance in Å.
Space group I4_1/amd (No. 141, origin choice 2)
Unique sites:
Cs  0.0000  0.0000  0.0000 x8  2 Mn 3.72, 2 Sn 4.14
Mn  0.0000  0.2500  0.8750 x4  2 Sn 2.57
Sn  0.0000  0.2500  0.3750 x4  2 Mn 2.57